Record 1
Below is an optimized crystal structure of AlZnRe2, with properties calculated at the GGA-PBEsol level.

a = 3.0764 Å, b = 4.3326 Å, c = 8.5281 Å
α = 90.00°, β = 90.00°, γ = 90.00°
Last column: nearest neighbours and their distance in Å.
Fractional positions:
Al 0.0000 0.0000 0.0000  4 Re 2.62, 4 Zn 2.66
Al 0.5000 0.5000 0.5000  4 Re 2.62, 4 Zn 2.66
Zn 0.0000 0.0000 0.5000  4 Re 2.63, 4 Al 2.66
Zn 0.5000 0.5000 0.0000  4 Re 2.63, 4 Al 2.66
Re 0.0000 0.5000 0.2506  2 Al 2.62, 2 Zn 2.63, 4 Re 2.66
Re 0.0000 0.5000 0.7494  2 Al 2.62, 2 Zn 2.63, 4 Re 2.66
Re 0.5000 0.0000 0.2494  2 Al 2.62, 2 Zn 2.63, 4 Re 2.66
Re 0.5000 0.0000 0.7506  2 Al 2.62, 2 Zn 2.63, 4 Re 2.66

Output
* space-group type: Immm (71)
* excess energy over the best structure of this formula in the dataset: 234 meV per atom

Record 2
Below is an optimized crystal structure of Al2ZnRe, with properties calculated at the GGA-PBEsol level.

a = 3.3623 Å, b = 3.9989 Å, c = 8.3209 Å
α = 90.00°, β = 90.00°, γ = 90.00°
Last column: nearest neighbours and their distance in Å.
Fractional positions:
Al 0.0000 0.0000 0.0000  4 Zn 2.61, 4 Re 2.67-2.89, 4 Al 2.74-2.83
Al 0.0000 0.5000 0.2407  4 Re 2.61, 2 Zn 2.63, 4 Al 2.74-2.83
Al 0.5000 0.0000 0.7407  4 Re 2.61, 2 Zn 2.63, 4 Al 2.74-2.83
Al 0.5000 0.5000 0.5000  4 Zn 2.61, 4 Re 2.67-2.89, 4 Al 2.74-2.83
Zn 0.0000 0.0000 0.4980  6 Al 2.61-2.63, 4 Re 2.67-2.89
Zn 0.5000 0.5000 0.9980  6 Al 2.61-2.63, 4 Re 2.67-2.89
Re 0.0000 0.5000 0.7486  8 Al 2.61-2.89, 4 Zn 2.67-2.89
Re 0.5000 0.0000 0.2486  8 Al 2.61-2.89, 4 Zn 2.67-2.89

Output
* space-group type: Imm2 (44)
* final energy: -47.49 eV per cell

Record 3
Below is an optimized crystal structure of Al2ZnRe, with properties calculated at the GGA-PBEsol level.

a = 3.2467 Å, b = 3.2467 Å, c = 5.4433 Å
α = 90.00°, β = 90.00°, γ = 90.00°
Last column: nearest neighbours and their distance in Å.
Fractional positions:
Al 0.0000 0.0000 0.2388  2 Al 2.60-2.84, 4 Re 2.64, 4 Zn 2.70
Al 0.0000 0.0000 0.7612  2 Al 2.60-2.84, 4 Re 2.64, 4 Zn 2.70
Zn 0.5000 0.5000 0.5000  8 Al 2.70, 2 Re 2.72
Re 0.5000 0.5000 0.0000  8 Al 2.64, 2 Zn 2.72

Output
* space-group type: P4/mmm (123)
* final energy: -23.68 eV per cell

Record 4
Below is an optimized crystal structure of AlZnRe2, with properties calculated at the GGA-PBEsol level.

a = 2.6433 Å, b = 2.6433 Å, c = 8.1596 Å
α = 90.00°, β = 90.00°, γ = 90.00°
Last column: nearest neighbours and their distance in Å.
Fractional positions:
Al 0.0000 0.0000 0.0000  4 Al 2.64, 8 Re 2.75
Zn 0.0000 0.0000 0.5000  4 Zn 2.64, 8 Re 2.78
Re 0.5000 0.5000 0.2480  4 Re 2.64, 4 Al 2.75, 4 Zn 2.78
Re 0.5000 0.5000 0.7520  4 Re 2.64, 4 Al 2.75, 4 Zn 2.78

Output
* space-group type: P4/mmm (123)
* excess energy over the best structure of this formula in the dataset: 358 meV per atom

Record 5
Below is an optimized crystal structure of AlZnRe2, with properties calculated at the GGA-PBEsol level.

a = 3.0233 Å, b = 3.0233 Å, c = 6.1455 Å
α = 90.00°, β = 90.00°, γ = 90.00°
Last column: nearest neighbours and their distance in Å.
Fractional positions:
Al 0.0000 0.0000 0.0000  4 Zn 2.60, 4 Re 2.65
Zn 0.5000 0.5000 0.7596  4 Al 2.60, 4 Re 2.67
Re 0.0000 0.0000 0.4993  4 Re 2.61, 4 Zn 2.67
Re 0.5000 0.5000 0.2544  4 Re 2.61, 4 Al 2.65

Output
* space-group type: P4mm (99)
* excess energy over the best structure of this formula in the dataset: 0 meV per atom

Record 6
Below is an optimized crystal structure of Al2ZnRe, with properties calculated at the GGA-PBEsol level.

a = 2.7745 Å, b = 3.9457 Å, c = 5.2700 Å
α = 90.00°, β = 90.00°, γ = 90.00°
Last column: nearest neighbours and their distance in Å.
Fractional positions:
Al 0.0000 0.0000 0.0000  2 Re 2.63-2.64, 4 Zn 2.70, 6 Al 2.77-2.83
Al 0.5000 0.5000 0.2826  2 Zn 2.56-2.71, 4 Re 2.67, 6 Al 2.77-2.83
Zn 0.5000 0.5000 0.7676  6 Al 2.56-2.71, 2 Zn 2.77, 4 Re 2.80
Re 0.0000 0.0000 0.4991  6 Al 2.63-2.67, 2 Re 2.77, 4 Zn 2.80

Output
* space-group type: Pmm2 (25)
* final energy: -23.13 eV per cell

Record 7
Below is an optimized crystal structure of Zr2AlRe, with properties calculated at the GGA-PBEsol level.

a = 4.5820 Å, b = 4.5820 Å, c = 3.4249 Å
α = 90.00°, β = 90.00°, γ = 90.00°
Last column: nearest neighbours and their distance in Å.
Fractional positions:
Zr 0.0000 0.5000 0.0000  4 Re 2.86, 4 Al 2.86
Zr 0.5000 0.0000 0.0000  4 Re 2.86, 4 Al 2.86
Al 0.0000 0.0000 0.5000  8 Zr 2.86
Re 0.5000 0.5000 0.5000  8 Zr 2.86

Output
* space-group type: P4/mmm (123)
* final energy: -37.06 eV per cell

Record 8
Below is an optimized crystal structure of ZrAl2Re, with properties calculated at the GGA-PBEsol level.

a = 2.8866 Å, b = 2.8866 Å, c = 27.5847 Å
α = 90.00°, β = 90.00°, γ = 120.00°
Last column: nearest neighbours and their distance in Å.
Fractional positions:
Zr 0.0000 0.0000 0.0000  6 Zr 2.89, 6 Al 3.02
Zr 0.3333 0.6667 0.6667  6 Zr 2.89, 6 Al 3.02
Zr 0.6667 0.3333 0.3333  6 Zr 2.89, 6 Al 3.02
Al 0.0000 0.0000 0.2419  3 Re 2.66, 6 Al 2.89
Al 0.0000 0.0000 0.7581  3 Re 2.66, 6 Al 2.89
Al 0.3333 0.6667 0.4247  3 Re 2.66, 6 Al 2.89
Al 0.3333 0.6667 0.9086  3 Re 2.66, 6 Al 2.89
Al 0.6667 0.3333 0.0914  3 Re 2.66, 6 Al 2.89
Al 0.6667 0.3333 0.5753  3 Re 2.66, 6 Al 2.89
Re 0.0000 0.0000 0.5000  6 Al 2.66, 6 Re 2.89
Re 0.3333 0.6667 0.1667  6 Al 2.66, 6 Re 2.89
Re 0.6667 0.3333 0.8333  6 Al 2.66, 6 Re 2.89

Output
* space-group type: R-3m (166)
* final energy: -92.16 eV per cell

Record 9
Below is an optimized crystal structure of AlRh3, with properties calculated at the GGA-PBEsol level.

a = 3.8092 Å, b = 3.8092 Å, c = 7.4209 Å
α = 90.00°, β = 90.00°, γ = 90.00°
Last column: nearest neighbours and their distance in Å.
Fractional positions:
Al 0.0000 0.0000 0.0000  12 Rh 2.66-2.69
Al 0.5000 0.5000 0.5000  12 Rh 2.66-2.69
Rh 0.0000 0.0000 0.5000  8 Rh 2.66, 4 Al 2.69
Rh 0.0000 0.5000 0.2500  4 Al 2.66, 8 Rh 2.66-2.69
Rh 0.0000 0.5000 0.7500  4 Al 2.66, 8 Rh 2.66-2.69
Rh 0.5000 0.0000 0.2500  4 Al 2.66, 8 Rh 2.66-2.69
Rh 0.5000 0.0000 0.7500  4 Al 2.66, 8 Rh 2.66-2.69
Rh 0.5000 0.5000 0.0000  8 Rh 2.66, 4 Al 2.69

Output
* space-group type: I4/mmm (139)
* final energy: -60.88 eV per cell

Record 10
Below is an optimized crystal structure of AlRh4, with properties calculated at the GGA-PBEsol level.

a = 5.9528 Å, b = 5.9528 Å, c = 3.8004 Å
α = 90.00°, β = 90.00°, γ = 90.00°
Last column: nearest neighbours and their distance in Å.
Fractional positions:
Al 0.0000 0.0000 0.0000  12 Rh 2.64-2.69
Al 0.5000 0.5000 0.5000  12 Rh 2.64-2.69
Rh 0.1024 0.3024 0.5000  3 Al 2.64-2.69, 9 Rh 2.65-2.69
Rh 0.1976 0.6024 0.0000  3 Al 2.64-2.69, 9 Rh 2.65-2.69
Rh 0.3024 0.8976 0.5000  3 Al 2.64-2.69, 9 Rh 2.65-2.69
Rh 0.3976 0.1976 0.0000  3 Al 2.64-2.69, 9 Rh 2.65-2.69
Rh 0.6024 0.8024 0.0000  3 Al 2.64-2.69, 9 Rh 2.65-2.69
Rh 0.6976 0.1024 0.5000  3 Al 2.64-2.69, 9 Rh 2.65-2.69
Rh 0.8024 0.3976 0.0000  3 Al 2.64-2.69, 9 Rh 2.65-2.69
Rh 0.8976 0.6976 0.5000  3 Al 2.64-2.69, 9 Rh 2.65-2.69

Output
* space-group type: I4/m (87)
* final energy: -77.13 eV per cell

Record 11
Below is an optimized crystal structure of Al5Rh2, with properties calculated at the GGA-PBEsol level.

a = 7.8759 Å, b = 7.8759 Å, c = 7.8249 Å
α = 90.00°, β = 90.00°, γ = 120.00°
Last column: nearest neighbours and their distance in Å.
Fractional positions:
Al 0.0000 0.0000 0.0000  6 Rh 2.63, 6 Al 2.67
Al 0.0000 0.0000 0.5000  6 Rh 2.63, 6 Al 2.67
Al 0.0588 0.5294 0.2500  3 Rh 2.46-2.67
Al 0.1927 0.3854 0.5584  2 Rh 2.43-2.57, 1 Al 2.67
Al 0.1927 0.3854 0.9416  2 Rh 2.43-2.57, 1 Al 2.67
Al 0.1927 0.8073 0.5584  2 Rh 2.43-2.57, 1 Al 2.67
Al 0.1927 0.8073 0.9416  2 Rh 2.43-2.57, 1 Al 2.67
Al 0.3854 0.1927 0.0584  2 Rh 2.43-2.57, 1 Al 2.67
Al 0.3854 0.1927 0.4416  2 Rh 2.43-2.57, 1 Al 2.67
Al 0.4706 0.5294 0.2500  3 Rh 2.46-2.67
Al 0.4706 0.9412 0.2500  3 Rh 2.46-2.67
Al 0.5294 0.0588 0.7500  3 Rh 2.46-2.67
Al 0.5294 0.4706 0.7500  3 Rh 2.46-2.67
Al 0.6146 0.8073 0.5584  2 Rh 2.43-2.57, 1 Al 2.67
Al 0.6146 0.8073 0.9416  2 Rh 2.43-2.57, 1 Al 2.67
Al 0.8073 0.1927 0.0584  2 Rh 2.43-2.57, 1 Al 2.67
Al 0.8073 0.1927 0.4416  2 Rh 2.43-2.57, 1 Al 2.67
Al 0.8073 0.6146 0.0584  2 Rh 2.43-2.57, 1 Al 2.67
Al 0.8073 0.6146 0.4416  2 Rh 2.43-2.57, 1 Al 2.67
Al 0.9412 0.4706 0.7500  3 Rh 2.46-2.67
Rh 0.1289 0.2577 0.2500  6 Al 2.46-2.63
Rh 0.1289 0.8711 0.2500  6 Al 2.46-2.63
Rh 0.2577 0.1289 0.7500  6 Al 2.46-2.63
Rh 0.3333 0.6667 0.7500  9 Al 2.43-2.67
Rh 0.6667 0.3333 0.2500  9 Al 2.43-2.67
Rh 0.7423 0.8711 0.2500  6 Al 2.46-2.63
Rh 0.8711 0.1289 0.7500  6 Al 2.46-2.63
Rh 0.8711 0.7423 0.7500  6 Al 2.46-2.63

Output
* space-group type: P6_3/mmc (194)
* final energy: -167.66 eV per cell

Record 12
Below is an optimized crystal structure of AlRh3, with properties calculated at the GGA-PBEsol level.

a = 2.7394 Å, b = 3.6862 Å, c = 5.3510 Å
α = 90.00°, β = 90.00°, γ = 90.00°
Last column: nearest neighbours and their distance in Å.
Fractional positions:
Al 0.0000 0.0000 0.0000  10 Rh 2.65-2.68, 2 Al 2.74
Rh 0.0000 0.0000 0.5000  10 Rh 2.66-2.74, 2 Al 2.68
Rh 0.5000 0.5000 0.2487  4 Al 2.65, 8 Rh 2.66-2.74
Rh 0.5000 0.5000 0.7513  4 Al 2.65, 8 Rh 2.66-2.74

Output
* space-group type: Pmmm (47)
* final energy: -30.11 eV per cell

Record 13
Below is an optimized crystal structure of Al3Rh4, with properties calculated at the GGA-PBEsol level.

a = 4.9569 Å, b = 4.9569 Å, c = 4.6246 Å
α = 90.00°, β = 90.00°, γ = 120.00°
Last column: nearest neighbours and their distance in Å.
Fractional positions:
Al 0.0000 0.5000 0.0000  4 Al 2.48, 8 Rh 2.72-2.74
Al 0.5000 0.0000 0.0000  4 Al 2.48, 8 Rh 2.72-2.74
Al 0.5000 0.5000 0.0000  4 Al 2.48, 8 Rh 2.72-2.74
Rh 0.0000 0.0000 0.2545  2 Rh 2.27-2.35
Rh 0.0000 0.0000 0.7455  2 Rh 2.27-2.35
Rh 0.3333 0.6667 0.5000  6 Al 2.72, 3 Rh 2.86
Rh 0.6667 0.3333 0.5000  6 Al 2.72, 3 Rh 2.86

Output
* space-group type: P6/mmm (191)
* final energy: -46.06 eV per cell

Record 14
Below is an optimized crystal structure of AlRh3, with properties calculated at the GGA-PBEsol level.

a = 2.7369 Å, b = 8.5214 Å, c = 4.6150 Å
α = 90.00°, β = 90.00°, γ = 90.00°
Last column: nearest neighbours and their distance in Å.
Fractional positions:
Al 0.0000 0.0000 0.0000  10 Rh 2.60-2.70, 2 Al 2.74
Al 0.5000 0.5000 0.5000  10 Rh 2.60-2.70, 2 Al 2.74
Rh 0.0000 0.2550 0.3410  3 Al 2.60-2.68, 9 Rh 2.62-2.74
Rh 0.0000 0.5000 0.9967  8 Rh 2.62-2.74, 4 Al 2.67-2.70
Rh 0.0000 0.7450 0.3410  3 Al 2.60-2.68, 9 Rh 2.62-2.74
Rh 0.5000 0.0000 0.4967  8 Rh 2.62-2.74, 4 Al 2.67-2.70
Rh 0.5000 0.2450 0.8410  3 Al 2.60-2.68, 9 Rh 2.62-2.74
Rh 0.5000 0.7550 0.8410  3 Al 2.60-2.68, 9 Rh 2.62-2.74

Output
* space-group type: Imm2 (44)
* final energy: -60.65 eV per cell